Record 1
This record from Alexandria via LeMat-Bulk describes a geometry-optimized BeTl2Pb structure. The functional is PBE.

Cell: 3.586 5.313 5.581 Å, 90.00 90.00 90.00°
Space group Pmmm (No. 47)
Symmetry-distinct sites (fractional):
Be 0.000 0.000 0.000 x1
Tl 0.000 0.500 0.500 x1
Tl 0.500 0.000 0.500 x1
Pb 0.500 0.500 0.000 x1

Properties
Excess energy over the best structure of this formula in the dataset: 200 meV/atom
VASP energy: -2.50 eV/atom
ΔE_f: 0.54 eV per atom

Record 2
This record from Alexandria via LeMat-Bulk describes a geometry-optimized SrLiAc2In4 structure. The functional is PBE.

Cell: 5.6395 5.6395 27.8439 Å, 90.00 90.00 120.00°
Space group R-3m (No. 166, hexagonal axes)
Symmetry-distinct sites (fractional):
Sr 0.0000 0.0000 0.0000 x3
Li 0.0000 0.0000 0.5000 x3
Ac 0.0000 0.0000 0.2469 x6
In 0.0000 0.0000 0.1269 x6
In 0.0000 0.0000 0.3795 x6

Properties
VASP energy: -3.20 eV/atom
ΔE_f: -0.36 eV per atom

Record 3
This record from Alexandria via LeMat-Bulk describes a geometry-optimized HOsCN structure. The functional is PBE.

Cell: 2.763 3.478 4.083 Å, 67.41 70.30 66.80°
Space group P1 (No. 1)
Symmetry-distinct sites (fractional):
H 0.000 0.000 0.000 x1
Os 0.301 0.778 0.631 x1
C 0.822 0.373 0.988 x1
N 0.674 0.293 0.368 x1

Properties
Excess energy over the best structure of this formula in the dataset: 225 meV/atom
VASP energy: -7.37 eV/atom

Record 4
This record from Alexandria via LeMat-Bulk describes a geometry-optimized Cs2NbBI6 structure. The functional is PBE.

Cell: 8.225 8.225 11.614 Å, 90.00 90.00 90.00°
Space group I4/mmm (No. 139)
Symmetry-distinct sites (fractional):
Cs 0.000 0.500 0.250 x4
Nb 0.000 0.000 0.000 x2
B 0.000 0.000 0.500 x2
I 0.000 0.000 0.249 x4
I 0.248 0.248 0.000 x8

Properties
ΔE_f (raw): -0.408 eV per atom
VASP energy: -3.18 eV/atom

Record 5
This record from Alexandria via LeMat-Bulk describes a geometry-optimized HfSc2Ir structure. The functional is PBE.

Cell: 6.749 6.749 6.749 Å, 90.00 90.00 90.00°
Space group Fm-3m (No. 225)
Symmetry-distinct sites (fractional):
Hf 0.000 0.000 0.000 x4
Sc 0.250 0.250 0.250 x8
Ir 0.000 0.000 0.500 x4

Properties
Excess energy over the best structure of this formula in the dataset: 316 meV/atom
VASP energy: -8.09 eV/atom
ΔE_f: -0.22 eV per atom

Record 6
This record from Alexandria via LeMat-Bulk describes a geometry-optimized Sr2CrReSi structure. The functional is PBE.

Cell: 5.983 5.983 4.308 Å, 90.00 90.00 90.00°
Space group P4/mmm (No. 123)
Symmetry-distinct sites (fractional):
Sr 0.000 0.500 0.000 x2
Cr 0.000 0.000 0.500 x1
Re 0.000 0.000 0.000 x1
Si 0.500 0.500 0.500 x1

Properties
ΔE_f (raw): 1.125 eV per atom
VASP energy: -5.05 eV/atom

Record 7
This record from Alexandria via LeMat-Bulk describes a geometry-optimized Tb5SnHg3 structure. The functional is PBE.

Cell: 9.2384 9.2384 6.6231 Å, 90.00 90.00 120.00°
Space group P6_3/mcm (No. 193)
Symmetry-distinct sites (fractional):
Tb 0.0000 0.2873 0.2500 x6
Tb 0.3333 0.6667 0.0000 x4
Sn 0.0000 0.0000 0.0000 x2
Hg 0.0000 0.3814 0.7500 x6

Properties
VASP energy: -3.58 eV/atom
ΔE_f: -0.46 eV per atom

Record 8
This record from Alexandria via LeMat-Bulk describes a geometry-optimized Rb2CoIrCl6 structure. The functional is PBE.

Cell: 7.278 7.278 9.094 Å, 90.00 90.00 90.00°
Space group I4/mmm (No. 139)
Symmetry-distinct sites (fractional):
Rb 0.000 0.500 0.250 x4
Co 0.000 0.000 0.000 x2
Ir 0.000 0.000 0.500 x2
Cl 0.000 0.000 0.241 x4
Cl 0.237 0.237 0.500 x8

Properties
ΔE_f (raw): -0.893 eV per atom
VASP energy: -3.79 eV/atom

Record 9
This record from Alexandria via LeMat-Bulk describes a geometry-optimized CsPdF structure. The functional is PBE.

Cell: 3.637 3.704 11.258 Å, 89.79 81.32 90.00°
Space group P1 (No. 1)
Symmetry-distinct sites (fractional):
Cs 0.000 0.000 0.000 x1
Cs 0.157 0.497 0.655 x1
Pd 0.370 0.505 0.281 x1
Pd 0.842 0.004 0.346 x1
F 0.555 0.501 0.881 x1
F 0.707 0.998 0.546 x1

Properties
ΔE_f (raw): -1.293 eV per atom
Excess energy over the best structure of this formula in the dataset: 0 meV/atom
VASP energy: -3.93 eV/atom

Record 10
This record from Alexandria via LeMat-Bulk describes a geometry-optimized NaTlIn structure. The functional is PBE.

Cell: 3.739 3.739 12.021 Å, 90.00 90.00 90.00°
Space group P4/nmm (No. 129, origin choice 2)
Symmetry-distinct sites (fractional):
Na 0.250 0.250 0.245 x2
Tl 0.250 0.250 0.585 x2
In 0.250 0.250 0.924 x2

Properties
Excess energy over the best structure of this formula in the dataset: 9 meV/atom
VASP energy: -2.24 eV/atom
ΔE_f: -0.10 eV per atom

Record 11
This record from Alexandria via LeMat-Bulk describes a geometry-optimized Th3ScSn2 structure. The functional is PBE.

Cell: 6.403 17.412 6.395 Å, 90.00 90.00 90.00°
Space group Ibam (No. 72)
Symmetry-distinct sites (fractional):
Th 0.000 0.000 0.250 x4
Th 0.243 0.179 0.000 x8
Sc 0.000 0.500 0.250 x4
Sn 0.234 0.367 0.000 x8

Properties
VASP energy: -6.52 eV/atom
ΔE_f: -0.42 eV per atom

Record 12
This record from Alexandria via LeMat-Bulk describes a geometry-optimized LiTlInPb3 structure. The functional is PBE.

Cell: 9.387 3.514 10.985 Å, 90.00 112.28 90.00°
Space group P2_1/m (No. 11)
Symmetry-distinct sites (fractional):
Li 0.121 0.250 0.308 x2
Tl 0.111 0.250 0.630 x2
In 0.402 0.750 0.872 x2
Pb 0.119 0.250 0.939 x2
Pb 0.334 0.750 0.213 x2
Pb 0.364 0.750 0.541 x2

Properties
VASP energy: -3.08 eV/atom
ΔE_f: -0.06 eV per atom

Record 13
This record from Alexandria via LeMat-Bulk describes a geometry-optimized InAg2Cl structure. The functional is PBE.

Cell: 3.383 4.566 11.774 Å, 90.00 90.00 90.00°
Space group Imm2 (No. 44)
Symmetry-distinct sites (fractional):
In 0.000 0.000 0.000 x2
Ag 0.000 0.000 0.527 x2
Ag 0.000 0.500 0.830 x2
Cl 0.000 0.500 0.241 x2

Properties
ΔE_f (raw): -0.093 eV per atom
VASP energy: -2.66 eV/atom

Record 14
This record from Alexandria via LeMat-Bulk describes a geometry-optimized La2HoSn3Pd6 structure. The functional is PBE.

Cell: 4.126 4.126 17.741 Å, 90.00 90.00 90.00°
Space group P4/mmm (No. 123)
Symmetry-distinct sites (fractional):
La 0.000 0.000 0.186 x2
Ho 0.000 0.000 0.500 x1
Sn 0.500 0.500 0.000 x1
Sn 0.500 0.500 0.295 x2
Pd 0.000 0.500 0.389 x4
Pd 0.500 0.500 0.144 x2

Properties
VASP energy: -5.37 eV/atom
ΔE_f: -0.57 eV per atom

Record 15
This record from Alexandria via LeMat-Bulk describes a geometry-optimized KSiAu3 structure. The functional is PBE.

Cell: 6.775 9.777 7.096 Å, 90.00 90.00 90.00°
Space group Pnma (No. 62)
Symmetry-distinct sites (fractional):
K 0.001 0.250 0.082 x4
Si 0.000 0.000 0.500 x4
Au 0.000 0.250 0.575 x4
Au 0.250 0.044 0.750 x8

Properties
ΔE_f (raw): -0.256 eV per atom
VASP energy: -3.53 eV/atom

Record 16
This record from Alexandria via LeMat-Bulk describes a geometry-optimized AlTcW structure. The functional is PBE.

Cell: 4.3577 4.3577 2.7524 Å, 90.00 90.00 120.00°
Space group P3m1 (No. 156)
Symmetry-distinct sites (fractional):
Al 0.0000 0.0000 0.0000 x1
Tc 0.6667 0.3333 0.3235 x1
W 0.3333 0.6667 0.5949 x1

Properties
Excess energy over the best structure of this formula in the dataset: 137 meV/atom
VASP energy: -9.14 eV/atom
ΔE_f: -0.11 eV per atom

Record 17
This record from Alexandria via LeMat-Bulk describes a geometry-optimized NaCdI4 structure. The functional is PBE.

Cell: 11.140 8.409 11.169 Å, 90.00 90.00 90.00°
Space group Cmcm (No. 63)
Symmetry-distinct sites (fractional):
Na 0.000 0.039 0.250 x4
Cd 0.000 0.463 0.750 x4
I 0.000 0.243 0.557 x8
I 0.195 0.322 0.250 x8

Properties
ΔE_f (raw): -0.557 eV per atom
VASP energy: -1.96 eV/atom

Record 18
This record from Alexandria via LeMat-Bulk describes a geometry-optimized Pm7Si2Ir2 structure. The functional is PBE.

Cell: 8.738 10.620 7.075 Å, 90.00 90.00 90.00°
Space group Cmmm (No. 65)
Symmetry-distinct sites (fractional):
Pm 0.000 0.000 0.000 x2
Pm 0.000 0.500 0.242 x4
Pm 0.250 0.250 0.258 x8
Si 0.224 0.000 0.500 x4
Ir 0.000 0.276 0.000 x4

Properties
ΔE_f (raw): -0.374 eV per atom
VASP energy: -5.99 eV/atom

Record 19
This record from Alexandria via LeMat-Bulk describes a geometry-optimized ScRe2Sb structure. The functional is PBE.

Cell: 3.449 4.360 4.672 Å, 90.00 90.00 90.00°
Space group Pmmm (No. 47)
Symmetry-distinct sites (fractional):
Sc 0.000 0.000 0.000 x1
Re 0.000 0.500 0.500 x1
Re 0.500 0.000 0.500 x1
Sb 0.500 0.500 0.000 x1

Properties
ΔE_f (raw): 0.247 eV per atom
VASP energy: -8.59 eV/atom

Record 20
This record from Alexandria via LeMat-Bulk describes a geometry-optimized Li2PmDyHg4 structure. The functional is PBE.

Cell: 5.0620 5.0620 24.9072 Å, 90.00 90.00 120.00°
Space group R-3m (No. 166, hexagonal axes)
Symmetry-distinct sites (fractional):
Li 0.0000 0.0000 0.2487 x6
Pm 0.0000 0.0000 0.0000 x3
Dy 0.0000 0.0000 0.5000 x3
Hg 0.0000 0.0000 0.1267 x6
Hg 0.0000 0.0000 0.3774 x6

Properties
VASP energy: -2.24 eV/atom
ΔE_f: -0.45 eV per atom

Record 21
This record from Alexandria via LeMat-Bulk describes a geometry-optimized Ho12Cu6Sn structure. The functional is PBE.

Cell: 9.812 9.812 9.812 Å, 90.00 90.00 90.00°
Space group Im-3 (No. 204)
Symmetry-distinct sites (fractional):
Ho 0.000 0.189 0.299 x24
Cu 0.000 0.376 0.500 x12
Sn 0.000 0.000 0.000 x2

Properties
VASP energy: -4.64 eV/atom
ΔE_f: -0.24 eV per atom

Record 22
This record from Alexandria via LeMat-Bulk describes a geometry-optimized CuTe2PdN structure. The functional is PBE.

Cell: 5.338 5.338 3.459 Å, 90.00 90.00 90.00°
Space group P4/mmm (No. 123)
Symmetry-distinct sites (fractional):
Cu 0.000 0.000 0.000 x1
Te 0.000 0.500 0.000 x2
Pd 0.500 0.500 0.500 x1
N 0.000 0.000 0.500 x1

Properties
ΔE_f (raw): 0.712 eV per atom
Excess energy over the best structure of this formula in the dataset: 0 meV/atom
VASP energy: -4.07 eV/atom

Record 23
This record from Alexandria via LeMat-Bulk describes a geometry-optimized Ta2BeGa structure. The functional is PBE.

Cell: 6.850 6.850 5.460 Å, 90.00 90.00 90.00°
Space group I-42d (No. 122)
Symmetry-distinct sites (fractional):
Ta 0.234 0.250 0.125 x8
Be 0.000 0.000 0.000 x4
Ga 0.000 0.000 0.500 x4

Properties
VASP energy: -7.30 eV/atom
ΔE_f: 0.32 eV per atom

Record 24
This record from Alexandria via LeMat-Bulk describes a geometry-optimized Pm2Tm2Th structure. The functional is PBE.

Cell: 4.549 4.549 16.328 Å, 90.00 90.00 90.00°
Space group I4/mmm (No. 139)
Symmetry-distinct sites (fractional):
Pm 0.000 0.500 0.250 x4
Tm 0.000 0.000 0.093 x4
Th 0.000 0.000 0.500 x2

Properties
Excess energy over the best structure of this formula in the dataset: 402 meV/atom
VASP energy: -4.75 eV/atom
ΔE_f: 0.42 eV per atom